(1)
DFT (GGA-PBE) results for a geometry-optimized Sr2TlPdI structure.

Its electronic total energy is -3.144 eV per atom. For the formation energy without anion corrections, the calculation gives -3.2 eV per formula unit.

a b c (Å): 6.0301 6.0301 5.2128
angles (deg): 90.00 90.00 90.00
Space group P4/mmm (No. 123)
Symmetry-distinct sites (fractional):
1 Sr 0.0000 0.5000 0.0000
2 Tl 0.0000 0.0000 0.5000
3 Pd 0.0000 0.0000 0.0000
4 I 0.5000 0.5000 0.5000

=====

(2)
DFT (GGA-PBE) results for a geometry-optimized SrTl2PdI structure.

Its electronic total energy is -3.161 eV per atom. For the formation energy without anion corrections, the calculation gives -2.6 eV per formula unit.

a b c (Å): 5.3476 5.3476 6.0434
angles (deg): 90.00 90.00 90.00
Space group P4/mmm (No. 123)
Symmetry-distinct sites (fractional):
1 Sr 0.0000 0.0000 0.0000
2 Tl 0.0000 0.5000 0.5000
3 Pd 0.0000 0.0000 0.5000
4 I 0.5000 0.5000 0.0000

=====

(3)
DFT (GGA-PBE) results for a geometry-optimized Sr2ZnPdI structure.

Its electronic total energy is -2.934 eV per atom. For the formation energy without anion corrections, the calculation gives -3.3 eV per formula unit.

a b c (Å): 5.9895 5.9895 4.8491
angles (deg): 90.00 90.00 90.00
Space group P4/mmm (No. 123)
Symmetry-distinct sites (fractional):
1 Sr 0.0000 0.5000 0.0000
2 Zn 0.0000 0.0000 0.5000
3 Pd 0.0000 0.0000 0.0000
4 I 0.5000 0.5000 0.5000

=====

(4)
DFT (GGA-PBE) results for a geometry-optimized TaPdI3 structure.

Its electronic total energy is -3.710 eV per atom. For the formation energy without anion corrections, the calculation gives 3.1 eV per formula unit.

a b c (Å): 5.5156 5.5156 5.5156
angles (deg): 90.00 90.00 90.00
Space group Pm-3m (No. 221)
Symmetry-distinct sites (fractional):
1 Ta 0.0000 0.0000 0.0000
2 Pd 0.5000 0.5000 0.5000
3 I 0.0000 0.0000 0.5000

=====

(5)
DFT (GGA-PBE) results for a geometry-optimized TaPdI2 structure.

Its electronic total energy is -4.412 eV per atom. For the formation energy without anion corrections, the calculation gives 2.5 eV per formula unit.

a b c (Å): 6.9932 6.9932 6.9932
angles (deg): 90.00 90.00 90.00
Space group Fm-3m (No. 225)
Symmetry-distinct sites (fractional):
1 Ta 0.0000 0.0000 0.0000
2 Pd 0.0000 0.0000 0.5000
3 I 0.2500 0.2500 0.2500

=====

(6)
DFT (GGA-PBE) results for a geometry-optimized Ta2PdI structure.

Its electronic total energy is -6.909 eV per atom. For the formation energy without anion corrections, the calculation gives 2.8 eV per formula unit.

a b c (Å): 3.9544 3.9544 20.7107
angles (deg): 90.00 90.00 90.00
Space group I-42d (No. 122)
Symmetry-distinct sites (fractional):
1 Ta 0.2470 0.2500 0.1250
2 Pd 0.0000 0.0000 0.0000
3 I 0.0000 0.0000 0.5000